Computed, not measured: a relaxed PmPr3ErTm crystal at the GGA-PBE level of DFT.

Lattice parameters (Å, degrees): 3.6368 10.9117 10.8804 109.60 90.00 90.00
Last column: nearest neighbours and their distance in Å.
Fractional positions:
Pr1 0.2500 0.6311 0.4598  2 Tm 3.59, 1 Pm 3.60, 2 Er 3.62, 7 Pr 3.63-3.73
Pr2 0.7500 0.8783 0.0466  3 Tm 3.58-3.72, 1 Er 3.60, 2 Pm 3.63, 6 Pr 3.63-3.65
Pr3 0.7500 0.3689 0.5402  2 Tm 3.59, 1 Pm 3.60, 2 Er 3.62, 7 Pr 3.63-3.73
Pr4 0.2500 0.6284 0.7921  7 Pr 3.63-3.69, 3 Pm 3.65-3.68, 2 Tm 3.67
Pr5 0.2500 0.1217 0.9534  3 Tm 3.58-3.72, 1 Er 3.60, 2 Pm 3.63, 6 Pr 3.63-3.65
Pr6 0.7500 0.3716 0.2079  7 Pr 3.63-3.69, 3 Pm 3.65-3.68, 2 Tm 3.67
Pm1 0.2500 0.6281 0.1277  6 Pr 3.60-3.68, 4 Pm 3.64-3.69, 2 Er 3.64
Pm2 0.7500 0.3719 0.8723  6 Pr 3.60-3.68, 4 Pm 3.64-3.69, 2 Er 3.64
Tm1 0.7500 0.8796 0.7048  3 Er 3.54-3.56, 7 Pr 3.58-3.72, 2 Tm 3.64
Tm2 0.2500 0.1204 0.2952  3 Er 3.54-3.56, 7 Pr 3.58-3.72, 2 Tm 3.64
Er1 0.2500 0.1197 0.6221  4 Er 3.54-3.64, 3 Tm 3.54-3.56, 3 Pr 3.60-3.62, 2 Pm 3.64
Er2 0.7500 0.8803 0.3779  4 Er 3.54-3.64, 3 Tm 3.54-3.56, 3 Pr 3.60-3.62, 2 Pm 3.64

- ΔH_f (0 K): 0.02 eV/atom
- E_tot: -4.67 eV per atom